[1]
{
  "formula": "AlWF3",
  "functional": "PBE+U",
  "state": "relaxed",
  "cell": [[4.083, 0.000, 0.000], [0.000, 4.083, 0.000], [0.000, 0.000, 4.083]],
  "species": ["Al", "W", "F", "F", "F"],
  "fractional_positions": [[0.000, 0.000, 0.000], [0.500, 0.500, 0.500], [0.000, 0.000, 0.500], [0.000, 0.500, 0.000], [0.500, 0.000, 0.000]],
  "relative_energy_ev_per_fu": 0.82
}

[2]
{
  "formula": "Fe3PdF",
  "functional": "PBE+U",
  "state": "relaxed",
  "cell": [[4.932, 0.000, 0.000], [0.000, 4.932, 0.000], [0.000, 0.000, 4.932]],
  "species": ["Fe", "Fe", "Fe", "Pd", "F"],
  "fractional_positions": [[0.000, 0.000, 0.500], [0.000, 0.500, 0.000], [0.500, 0.000, 0.000], [0.000, 0.000, 0.000], [0.500, 0.500, 0.500]],
  "relative_energy_ev_per_fu": 1.54
}